Computed, not measured: Mg7FeSi4O16 after structural relaxation at the PBE with a Hubbard U level of DFT.

Output
- calculated density (g/cm³) = 3.27
- final energy (eV per cell) = -194.145
- crystal system = triclinic
- volume (Å³ per atom) = 10.8

abc: 4.8201 6.0533 10.3530
angles: 89.89 89.91 89.76
Closest atoms and distances in Å follow each position.
Space group P-1 (No. 2)
One atom of each set of equivalent atoms:
1 Mg 0.0000 0.0000 0.0000 [1 per cell]  6 O 2.09-2.16
2 Mg 0.0000 0.5000 0.0000 [1 per cell]  6 O 2.09-2.16
3 Mg 0.0090 0.2497 0.2762 [2 per cell]  6 O 2.07-2.25
4 Mg 0.4931 0.2506 0.7786 [2 per cell]  6 O 2.07-2.24
5 Mg 0.5000 0.5000 0.5000 [1 per cell]  6 O 2.10-2.16
6 Fe 0.5000 0.0000 0.5000 [1 per cell]  6 O 2.14-2.23
7 Si 0.0725 0.7468 0.4040 [2 per cell]  4 O 1.64-1.67
8 Si 0.4262 0.7500 0.9066 [2 per cell]  4 O 1.64-1.68
9 O 0.2119 0.7466 0.5520 [2 per cell]  1 Si 1.67
10 O 0.2148 0.9627 0.3323 [2 per cell]  1 Si 1.65
11 O 0.2249 0.5301 0.3368 [2 per cell]  1 Si 1.66
12 O 0.2346 0.2502 0.0911 [2 per cell]  1 Si 1.64
13 O 0.2672 0.2540 0.5952 [2 per cell]  1 Si 1.64
14 O 0.2774 0.5341 0.8374 [2 per cell]  1 Si 1.66
15 O 0.2773 0.7492 0.0529 [2 per cell]  1 Si 1.68
16 O 0.2784 0.9676 0.8378 [2 per cell]  1 Si 1.66